The following is a PBE-GGA calculation of a geometry-optimized Ag2AsRu structure, from Alexandria.

Cell lengths 5.2690, 10.2199, 2.9752 Å; angles 90.00, 122.14, 90.00 degrees
Space group C2/m (No. 12)
Asymmetric unit:
Ag  0.2500  0.2500  0.0000 [4 per cell]
As  0.0000  0.0000  0.5000 [2 per cell]
Ru  0.0000  0.5000  0.5000 [2 per cell]

Summary:
energy of formation = 0.36 eV per atom
D(E_F) = 3.1 states/eV/f.u.
total magnetic moment = 0.71 μB per formula unit

***

The following is a PBE-GGA calculation of a geometry-optimized Pr4Ge2SeS structure, from Alexandria.

Cell lengths 7.3982, 4.2765, 7.4337 Å; angles 90.00, 109.37, 90.00 degrees
Space group P2/m (No. 10)
Asymmetric unit:
Pr  0.2442  0.0000  0.2452 [2 per cell]
Pr  0.2472  0.5000  0.7520 [2 per cell]
Ge  0.0000  0.5000  0.0000 [1 per cell]
Ge  0.5000  0.0000  0.0000 [1 per cell]
Se  0.5000  0.5000  0.5000 [1 per cell]
S  0.0000  0.0000  0.5000 [1 per cell]

Summary:
D(E_F) = 2.4 states/eV/f.u.
total magnetic moment = 0.00 μB per formula unit
E_form (uncorrected) = -1.408 eV per atom

***

The following is a PBE-GGA calculation of a geometry-optimized Sc2NiGeC structure, from Alexandria.

Cell lengths 4.5014, 4.5014, 3.7786 Å; angles 90.00, 90.00, 90.00 degrees
Space group P4/mmm (No. 123)
Asymmetric unit:
Sc  0.0000  0.5000  0.0000 [2 per cell]
Ni  0.0000  0.0000  0.5000 [1 per cell]
Ge  0.5000  0.5000  0.5000 [1 per cell]
C  0.0000  0.0000  0.0000 [1 per cell]

Summary:
energy of formation = -0.51 eV per atom
D(E_F) = 4.5 states/eV/f.u.
total magnetic moment = 0.00 μB per formula unit
ΔE to the lowest computed polymorph = 0 meV per atom

***

The following is a PBE-GGA calculation of a geometry-optimized LiPmTe2O8 structure, from Alexandria.

Cell lengths 7.4531, 7.4531, 6.7345 Å; angles 90.00, 90.00, 90.00 degrees
Space group I-4m2 (No. 119)
Asymmetric unit:
Li  0.0000  0.0000  0.0000 [2 per cell]
Pm  0.0000  0.5000  0.2500 [2 per cell]
Te  0.0000  0.0000  0.5000 [2 per cell]
Te  0.0000  0.5000  0.7500 [2 per cell]
O  0.0000  0.1904  0.3277 [8 per cell]
O  0.0000  0.3128  0.9310 [8 per cell]

Summary:
D(E_F) = 0.0 states/eV/f.u.
total magnetic moment = 0.00 μB per formula unit
E_form (uncorrected) = -1.516 eV per atom

***

The following is a PBE-GGA calculation of a geometry-optimized SnPdSeN2 structure, from Alexandria.

Cell lengths 4.1052, 4.1052, 5.3108 Å; angles 90.00, 90.00, 90.00 degrees
Space group P4/mmm (No. 123)
Asymmetric unit:
Sn  0.0000  0.0000  0.0000 [1 per cell]
Pd  0.5000  0.5000  0.5000 [1 per cell]
Se  0.5000  0.5000  0.0000 [1 per cell]
N  0.0000  0.5000  0.5000 [2 per cell]

Summary:
D(E_F) = 2.0 states/eV/f.u.
total magnetic moment = 3.17 μB per formula unit
ΔE to the lowest computed polymorph = 0 meV per atom
E_form (uncorrected) = 1.171 eV per atom

***

The following is a PBE-GGA calculation of a geometry-optimized AlAs2Rh structure, from Alexandria.

Cell lengths 4.7422, 8.4467, 3.9615 Å; angles 90.00, 90.00, 90.00 degrees
Space group Cmmm (No. 65)
Asymmetric unit:
Al  0.0000  0.0000  0.0000 [2 per cell]
As  0.0000  0.3211  0.5000 [4 per cell]
Rh  0.0000  0.5000  0.0000 [2 per cell]

Summary:
energy of formation = -0.19 eV per atom
D(E_F) = 1.8 states/eV/f.u.
total magnetic moment = 0.00 μB per formula unit